Record 1
This record from the Alexandria database describes an optimized crystal structure of TiNbGe. The functional is PBE-GGA.

Output
Symmetry = Imm2, No. 44
Calculated total energy = -8.06 eV/atom
Energy relative to the elements = -534 meV per atom
Total moment = 0.00 Bohr magnetons per cell

Cell: 3.674 3.790 14.525 Å, 90.00 90.00 90.00°
Atoms (fractional coordinates):
1 Ti 0.000 0.000 0.000
2 Ti 0.000 0.500 0.178
3 Ti 0.500 0.000 0.678
4 Ti 0.500 0.500 0.500
5 Nb 0.000 0.000 0.501
6 Nb 0.000 0.500 0.821
7 Nb 0.500 0.000 0.321
8 Nb 0.500 0.500 0.001
9 Ge 0.000 0.500 0.361
10 Ge 0.000 0.500 0.638
11 Ge 0.500 0.000 0.138
12 Ge 0.500 0.000 0.861

Record 2
This record from the Alexandria database describes an optimized crystal structure of TiNb2Ge6. The functional is PBE-GGA.

Output
Symmetry = C222, No. 21
Calculated total energy = -6.58 eV/atom
Energy relative to the elements = -387 meV per atom
Total moment = 0.00 Bohr magnetons per cell

Cell: 4.986 4.986 6.840 Å, 90.00 90.00 120.12°
Atoms (fractional coordinates):
1 Ti 0.000 0.000 0.000
2 Nb 0.000 0.500 0.667
3 Nb 0.500 0.000 0.333
4 Ge 0.168 0.332 0.332
5 Ge 0.332 0.168 0.668
6 Ge 0.339 0.661 0.000
7 Ge 0.661 0.339 0.000
8 Ge 0.668 0.832 0.668
9 Ge 0.832 0.668 0.332

Record 3
This record from the Alexandria database describes an optimized crystal structure of Ti12NbGe6. The functional is PBE-GGA.

Output
Symmetry = R-3, No. 148
Calculated total energy = -7.31 eV/atom
Energy relative to the elements = -340 meV per atom
Total moment = 0.00 Bohr magnetons per cell

Cell: 7.542 7.542 7.542 Å, 110.78 110.78 110.78°
Atoms (fractional coordinates):
1 Ti 0.034 0.171 0.300
2 Ti 0.171 0.300 0.034
3 Ti 0.230 0.686 0.597
4 Ti 0.300 0.034 0.171
5 Ti 0.314 0.403 0.770
6 Ti 0.403 0.770 0.314
7 Ti 0.597 0.230 0.686
8 Ti 0.686 0.597 0.230
9 Ti 0.700 0.966 0.829
10 Ti 0.770 0.314 0.403
11 Ti 0.829 0.700 0.966
12 Ti 0.966 0.829 0.700
13 Nb 0.500 0.500 0.500
14 Ge 0.085 0.579 0.862
15 Ge 0.138 0.915 0.421
16 Ge 0.421 0.138 0.915
17 Ge 0.579 0.862 0.085
18 Ge 0.862 0.085 0.579
19 Ge 0.915 0.421 0.138

Record 4
This record from the Alexandria database describes an optimized crystal structure of TiNbGe2. The functional is PBE-GGA.

Output
Energy above the most stable polymorph in this dataset = 915.1 meV/atom
Symmetry = I-42d, No. 122
Calculated total energy = -6.18 eV/atom
Energy relative to the elements = 618 meV per atom
Total moment = 0.00 Bohr magnetons per cell

Cell: 5.891 5.891 11.523 Å, 90.00 90.00 90.00°
Atoms (fractional coordinates):
1 Ti 0.000 0.000 0.000
2 Ti 0.000 0.500 0.250
3 Ti 0.500 0.000 0.750
4 Ti 0.500 0.500 0.500
5 Nb 0.000 0.000 0.500
6 Nb 0.000 0.500 0.750
7 Nb 0.500 0.000 0.250
8 Nb 0.500 0.500 0.000
9 Ge 0.249 0.250 0.125
10 Ge 0.250 0.749 0.375
11 Ge 0.250 0.751 0.875
12 Ge 0.251 0.250 0.625
13 Ge 0.749 0.750 0.625
14 Ge 0.750 0.249 0.875
15 Ge 0.750 0.251 0.375
16 Ge 0.751 0.750 0.125